# 1
CaTmTlZn | PBE | relaxed

Cell lengths 3.673, 3.673, 7.557 Å; angles 90.00, 90.00, 90.00 degrees
Space group P4mm (No. 99)
Symmetry-distinct sites (fractional):
Ca 0.000 0.000 0.000 x1
Tm 0.000 0.000 0.539 x1
Tl 0.500 0.500 0.278 x1
Zn 0.500 0.500 0.747 x1

Computed properties:
For the formation enthalpy at 0 K, the calculation gives -340 meV per atom. The calculation puts the mass density at 7.80 g cm⁻³. Its energy relative to the lowest polymorph listed for this composition is 0.0 meV/atom.

***

# 2
CaTmTlZn | PBE | relaxed

Cell lengths 7.414, 7.414, 7.414 Å; angles 90.00, 90.00, 90.00 degrees
Space group F-43m (No. 216)
Symmetry-distinct sites (fractional):
Ca 0.000 0.000 0.000 x4
Tm 0.000 0.000 0.500 x4
Tl 0.250 0.250 0.250 x4
Zn 0.250 0.250 0.750 x4

Computed properties:
For the formation enthalpy at 0 K, the calculation gives -320 meV per atom. The calculation puts the mass density at 7.80 g cm⁻³. Its energy relative to the lowest polymorph listed for this composition is 19.4 meV/atom.

***

Question: Among the records above, which one has the lowest formation enthalpy at 0 K?
Answer: number 1

***

Question: What is the energy relative to the lowest polymorph listed for this composition in the first record?
Answer: 0.0 meV/atom